Computed, not measured: a geometry-optimized La4Sb2AsN2 structure at the PBE-GGA level of DFT.

a = 8.526 Å, b = 8.526 Å, c = 9.226 Å
α = 119.28°, β = 119.28°, γ = 28.64°
Element x y z (fractional)
La (0.022, 0.022, 0.290)
La (0.276, 0.276, 0.368)
La (0.724, 0.724, 0.632)
La (0.978, 0.978, 0.710)
Sb (0.404, 0.404, 0.943)
Sb (0.596, 0.596, 0.057)
As (0.500, 0.500, 0.500)
N (0.177, 0.177, 0.481)
N (0.823, 0.823, 0.519)

## Properties
The calculation puts the uncorrected energy at -6.714 eV/atom. Its density of states at the Fermi level is 0.369 states/eV/atom.